First-principles (GGA-PBE) data for an optimized crystal structure of ThAs, as listed in OQMD via LeMat-Bulk.

Cell: 6.3677 5.6013 5.8156 Å, 90.00 90.00 90.00°
Closest atoms and distances in Å follow each position.
Sites, in units of the cell vectors:
As 0.7500 0.0000 0.6806  2 Th 2.88-2.94
As 0.2500 0.0000 0.3194  2 Th 2.88-2.94
Th 0.2500 0.0000 0.8147  4 As 2.88-2.96
Th 0.0000 0.5000 0.5000  2 Th 3.18, 8 As 3.20-3.43
Th 0.5000 0.5000 0.5000  2 Th 3.18, 8 As 3.20-3.43
Th 0.7500 0.0000 0.1853  4 As 2.88-2.96
As 0.7500 0.5000 0.0229  4 Th 2.96-3.20, 2 As 3.19
As 0.2500 0.5000 0.9771  4 Th 2.96-3.20, 2 As 3.19

=====

First-principles (GGA-PBE) data for an optimized crystal structure of ThAs, as listed in OQMD via LeMat-Bulk.

Cell: 4.6892 4.6892 4.6892 Å, 60.00 60.00 60.00°
Closest atoms and distances in Å follow each position.
Sites, in units of the cell vectors:
As 0.0000 0.0000 0.0000  4 Th 2.87
Th 0.2500 0.2500 0.2500  4 As 2.87

=====

First-principles (GGA-PBE) data for an optimized crystal structure of ThAs2, as listed in OQMD via LeMat-Bulk.

Cell: 9.1688 9.1688 9.1688 Å, 60.00 60.00 60.00°
Closest atoms and distances in Å follow each position.
Sites, in units of the cell vectors:
Th 0.2500 0.2500 0.2500  4 As 2.81
Th 0.0000 0.0000 0.0000  4 As 2.81
As 0.1250 0.1250 0.1250  2 Th 2.81
As 0.1250 0.6250 0.1250  2 Th 2.81
As 0.1250 0.1250 0.6250  2 Th 2.81
As 0.6250 0.1250 0.1250  2 Th 2.81

=====

First-principles (GGA-PBE) data for an optimized crystal structure of TmThAs, as listed in OQMD via LeMat-Bulk.

Cell: 4.9420 4.9420 4.9420 Å, 60.00 60.00 60.00°
Closest atoms and distances in Å follow each position.
Sites, in units of the cell vectors:
Tm 0.0000 0.0000 0.0000  4 As 3.03, 4 Th 3.03
As 0.2500 0.2500 0.2500  4 Tm 3.03
Th 0.7500 0.7500 0.7500  4 Tm 3.03

=====

Number 1: uncorrected energy -6.747 eV per atom. Number 2: uncorrected energy -6.613 eV per atom. Number 3: uncorrected energy -5.142 eV per atom. Number 4: uncorrected energy -5.152 eV per atom.